Model a:
This record from Alexandria describes a relaxed structure of LaHf3H. The functional is GGA-PBE.

a b c (Å): 4.636 4.636 4.636
angles (deg): 90.00 90.00 90.00
Fractional coordinates of all 5 atoms:
La  0.000  0.000  0.000
Hf  0.000  0.500  0.500
Hf  0.500  0.000  0.500
Hf  0.500  0.500  0.000
H  0.500  0.500  0.500

Values from the calculation:
Its space group is No. 221. The calculation puts the spin magnetization at 0.00 μB/f.u. Its crystal system is cubic.

---

Model b:
This record from Alexandria describes a relaxed structure of LaHf3H. The functional is GGA-PBE.

a b c (Å): 5.262 5.262 5.262
angles (deg): 90.00 90.00 90.00
Fractional coordinates of all 5 atoms:
La  0.000  0.000  0.000
Hf  0.000  0.000  0.500
Hf  0.000  0.500  0.000
Hf  0.500  0.000  0.000
H  0.500  0.500  0.500

Values from the calculation:
Its space group is No. 221. The calculation puts the spin magnetization at 0.00 μB/f.u. Its crystal system is cubic.

---

It turns out model a is the most stable, with the second structure 203.9 kJ/mol of atoms higher.

---

Model a:
This record from Alexandria describes a relaxed structure of LaHfSc2H. The functional is GGA-PBE.

a b c (Å): 4.705 4.705 4.637
angles (deg): 90.00 90.00 90.00
Fractional coordinates of all 5 atoms:
La  0.000  0.000  0.000
Hf  0.500  0.500  0.000
Sc  0.000  0.500  0.500
Sc  0.500  0.000  0.500
H  0.500  0.500  0.500

Values from the calculation:
Its space group is No. 123. The calculation puts the spin magnetization at 0.00 μB/f.u. Its crystal system is tetragonal.

---

Model b:
This record from Alexandria describes a relaxed structure of LaHfSc2H. The functional is GGA-PBE.

a b c (Å): 4.670 4.670 4.781
angles (deg): 90.00 90.00 90.00
Fractional coordinates of all 5 atoms:
La  0.000  0.000  0.000
Hf  0.500  0.500  0.000
Sc  0.000  0.500  0.500
Sc  0.500  0.000  0.500
H  0.000  0.000  0.500

Values from the calculation:
Its space group is No. 123. The calculation puts the spin magnetization at 0.00 μB/f.u. Its crystal system is tetragonal.

---

It turns out model b is the most stable, with the second structure 2.8 kJ/mol of atoms higher.

---

Model a:
This record from Alexandria describes a relaxed structure of La2YHfH. The functional is GGA-PBE.

a b c (Å): 5.050 5.050 4.946
angles (deg): 90.00 90.00 90.00
Fractional coordinates of all 5 atoms:
La  0.000  0.500  0.000
La  0.500  0.000  0.000
Y  0.000  0.000  0.500
Hf  0.500  0.500  0.500
H  0.000  0.000  0.000

Values from the calculation:
Its space group is No. 123. The calculation puts the spin magnetization at 0.00 μB/f.u. Its crystal system is tetragonal.

---

Model b:
This record from Alexandria describes a relaxed structure of La2YHfH. The functional is GGA-PBE.

a b c (Å): 5.135 5.135 4.758
angles (deg): 90.00 90.00 90.00
Fractional coordinates of all 5 atoms:
La  0.000  0.500  0.000
La  0.500  0.000  0.000
Y  0.000  0.000  0.500
Hf  0.500  0.500  0.500
H  0.500  0.500  0.000

Values from the calculation:
Its space group is No. 123. The calculation puts the spin magnetization at 0.00 μB/f.u. Its crystal system is tetragonal.

---

It turns out model a is the most stable, with the second structure 0.7 kJ/mol of atoms higher.

---

Model a:
This record from Alexandria describes a relaxed structure of Li2HfH6. The functional is GGA-PBE.

a b c (Å): 5.305 5.305 5.305
angles (deg): 60.00 60.00 60.00
Fractional coordinates of all 9 atoms:
Li  0.250  0.250  0.250
Li  0.750  0.750  0.750
Hf  0.000  0.000  0.000
H  0.258  0.258  0.742
H  0.258  0.742  0.258
H  0.258  0.742  0.742
H  0.742  0.258  0.258
H  0.742  0.258  0.742
H  0.742  0.742  0.258

Values from the calculation:
Its space group is No. 225. The calculation puts the spin magnetization at 0.00 μB/f.u. Its crystal system is cubic.

---

Model b:
This record from Alexandria describes a relaxed structure of Li2HfH6. The functional is GGA-PBE.

a b c (Å): 3.358 3.358 7.035
angles (deg): 104.27 104.27 58.79
Fractional coordinates of all 9 atoms:
Li  0.211  0.211  0.141
Li  0.789  0.789  0.859
Hf  0.000  0.000  0.500
H  0.108  0.108  0.838
H  0.326  0.326  0.389
H  0.356  0.356  0.660
H  0.644  0.644  0.340
H  0.674  0.674  0.611
H  0.892  0.892  0.162

Values from the calculation:
Its space group is No. 12. The calculation puts the spin magnetization at 0.00 μB/f.u. Its crystal system is monoclinic.

---

It turns out model b is the most stable, with the second structure 35.0 kJ/mol of atoms higher.

---

Model a:
This record from Alexandria describes a relaxed structure of Li2HfH. The functional is GGA-PBE.

a b c (Å): 5.483 5.483 5.483
angles (deg): 119.93 119.93 90.12
Fractional coordinates of all 8 atoms:
Li  0.000  0.000  0.000
Li  0.000  0.000  0.500
Li  0.000  0.500  0.000
Li  0.500  0.000  0.500
Hf  0.375  0.625  0.750
Hf  0.625  0.375  0.250
H  0.125  0.875  0.250
H  0.875  0.125  0.750

Values from the calculation:
Its space group is No. 141. The calculation puts the spin magnetization at 2.41 μB/f.u. Its crystal system is tetragonal.

---

Model b:
This record from Alexandria describes a relaxed structure of Li2HfH. The functional is GGA-PBE.

a b c (Å): 4.436 4.436 4.436
angles (deg): 60.00 60.00 60.00
Fractional coordinates of all 4 atoms:
Li  0.250  0.250  0.250
Li  0.750  0.750  0.750
Hf  0.000  0.000  0.000
H  0.500  0.500  0.500

Values from the calculation:
Its space group is No. 225. The calculation puts the spin magnetization at 0.00 μB/f.u. Its crystal system is cubic.

---

It turns out model a is the most stable, with the second structure 69.5 kJ/mol of atoms higher.

---

Model a:
This record from Alexandria describes a relaxed structure of LiHf2ZrH. The functional is GGA-PBE.

a b c (Å): 5.490 5.490 3.492
angles (deg): 90.00 90.00 90.00
Fractional coordinates of all 5 atoms:
Li  0.000  0.000  0.000
Hf  0.000  0.500  0.500
Hf  0.500  0.000  0.500
Zr  0.500  0.500  0.500
H  0.500  0.500  0.000

Values from the calculation:
Its space group is No. 123. The calculation puts the spin magnetization at 0.00 μB/f.u. Its crystal system is tetragonal.

---

Model b:
This record from Alexandria describes a relaxed structure of LiHf2ZrH. The functional is GGA-PBE.

a b c (Å): 4.407 4.407 4.310
angles (deg): 90.00 90.00 90.00
Fractional coordinates of all 5 atoms:
Li  0.000  0.000  0.000
Hf  0.000  0.500  0.500
Hf  0.500  0.000  0.500
Zr  0.500  0.500  0.000
H  0.000  0.000  0.500

Values from the calculation:
Its space group is No. 123. The calculation puts the spin magnetization at 0.00 μB/f.u. Its crystal system is tetragonal.

---

It turns out model b is the most stable, with the second structure 83.8 kJ/mol of atoms higher.